A plane-wave DFT calculation with PBE was carried out for an optimized crystal structure of BeAgP.

The total energy is -24.3 eV per cell.

The space group is P1 (No. 1) and the conventional cell measures 3.6856, 3.6856 and 8.6464 Å, with angles of 89.99, 89.99 and 60.07 degrees. The distinct sites, in fractional coordinates, are Be at (0.0000, 0.0000, 0.0000), Be at (0.0430, 0.0408, 0.4998), Ag at (0.5793, 0.4601, 0.2499), Ag at (0.5805, 0.4616, 0.7497), P at (0.3297, 0.3372, 0.9996) and P at (0.7057, 0.7109, 0.4996).


A plane-wave DFT calculation with PBE was carried out for an optimized crystal structure of Rb2BeAgP2.

The total energy is -81.4 eV per cell.

The space group is Ibam (No. 72) and the conventional cell measures 6.1927, 16.4674 and 5.9273 Å, with angles of 90.00, 90.00 and 90.00 degrees. The distinct sites, in fractional coordinates, are Rb at (0.2382, 0.1651, 0.0000), Be at (0.0000, 0.5000, 0.2500), Ag at (0.0000, 0.0000, 0.2500) and P at (0.2045, 0.4262, 0.0000).


A plane-wave DFT calculation with PBE was carried out for an optimized crystal structure of BeAgPS2.

The total energy is -13.4 eV per cell. The value obtained for the polymorph energy (0 for the lowest one) is 82.0 kJ/mol of atoms. The calculation puts the formation energy (no corrections) at 1.373 eV/atom.

The space group is P4/mmm (No. 123) and the conventional cell measures 4.8594, 4.8594 and 4.6938 Å, with angles of 90.00, 90.00 and 90.00 degrees. The distinct sites, in fractional coordinates, are Be at (0.0000, 0.0000, 0.0000), Ag at (0.5000, 0.5000, 0.5000), P at (0.5000, 0.5000, 0.0000) and S at (0.0000, 0.5000, 0.5000).